Entry 1:
Computed, not measured: crystalline AcYHoEr at its relaxed geometry at the GGA-PBE level of DFT.

Lattice parameters (Å, degrees): 8.223 8.223 8.223 90.00 90.00 90.00
Space group F-43m (No. 216)
Inequivalent atoms, fractional coordinates:
Ac 0.000 0.000 0.000 [4 per cell]
Y 0.250 0.250 0.750 [4 per cell]
Ho 0.250 0.250 0.250 [4 per cell]
Er 0.000 0.000 0.500 [4 per cell]

Values from the calculation:
ΔE to the lowest computed polymorph (eV/f.u.): 0.26
E_tot (eV/atom): -4.796
Energy of formation (eV/f.u.): 0.530

---

Entry 2:
Computed, not measured: crystalline AcYHo6Er2 at its relaxed geometry at the GGA-PBE level of DFT.

Lattice parameters (Å, degrees): 9.178 15.202 9.484 90.00 94.87 90.00
Space group C2/c (No. 15)
Inequivalent atoms, fractional coordinates:
Ac 0.000 0.031 0.250 [4 per cell]
Y 0.000 0.412 0.750 [4 per cell]
Ho 0.060 0.189 0.942 [8 per cell]
Ho 0.101 0.388 0.116 [8 per cell]
Ho 0.214 0.230 0.320 [8 per cell]
Er 0.240 0.443 0.451 [8 per cell]

Values from the calculation:
E_tot (eV/atom): -4.587
Energy of formation (eV/f.u.): 1.299

---

Entry 3:
Computed, not measured: crystalline AcYHoEr at its relaxed geometry at the GGA-PBE level of DFT.

Lattice parameters (Å, degrees): 3.6805 3.6805 35.3035 90.00 90.00 120.00
Space group R3m (No. 160, hexagonal axes)
Inequivalent atoms, fractional coordinates:
Ac 0.0000 0.0000 0.0000 [3 per cell]
Y 0.0000 0.0000 0.5779 [3 per cell]
Ho 0.0000 0.0000 0.7531 [3 per cell]
Er 0.0000 0.0000 0.1648 [3 per cell]

Values from the calculation:
ΔE to the lowest computed polymorph (eV/f.u.): 0.00
E_tot (eV/atom): -4.860
Energy of formation (eV/f.u.): 0.273

---

Entry 4:
Computed, not measured: crystalline AcY3HoEr at its relaxed geometry at the GGA-PBE level of DFT.

Lattice parameters (Å, degrees): 23.061 5.392 7.019 90.00 98.22 90.00
Space group C2/m (No. 12)
Inequivalent atoms, fractional coordinates:
Ac 0.127 0.000 0.482 [4 per cell]
Y 0.022 0.000 0.784 [4 per cell]
Y 0.180 0.500 0.786 [4 per cell]
Y 0.225 0.500 0.310 [4 per cell]
Ho 0.075 0.500 0.112 [4 per cell]
Er 0.167 0.000 0.025 [4 per cell]

Values from the calculation:
E_tot (eV/atom): -5.216
Energy of formation (eV/f.u.): 1.345

---

Entry 5:
Computed, not measured: crystalline AcErI at its relaxed geometry at the GGA-PBE level of DFT.

Lattice parameters (Å, degrees): 5.5780 5.5780 3.9657 90.00 90.00 120.00
Space group P-6m2 (No. 187)
Inequivalent atoms, fractional coordinates:
Ac 0.0000 0.0000 0.0000 [1 per cell]
Er 0.6667 0.3333 0.5000 [1 per cell]
I 0.3333 0.6667 0.5000 [1 per cell]

Values from the calculation:
ΔE to the lowest computed polymorph (eV/f.u.): 0.73
E_tot (eV/atom): -3.643
Uncorrected formation energy (eV per atom): -0.236

---

Entry 6:
Computed, not measured: crystalline Ac5Er3I12 at its relaxed geometry at the GGA-PBE level of DFT.

Lattice parameters (Å, degrees): 19.194 19.194 19.194 90.00 90.00 90.00
Space group Ia-3d (No. 230)
Inequivalent atoms, fractional coordinates:
Ac 0.000 0.000 0.000 [16 per cell]
Ac 0.000 0.250 0.375 [24 per cell]
Er 0.000 0.250 0.125 [24 per cell]
I 0.021 0.087 0.646 [96 per cell]

Values from the calculation:
E_tot (eV/atom): -3.249
Uncorrected formation energy (eV per atom): -0.607